1.
The following is a PBE-GGA calculation of LiAgPd2 after structural relaxation, from OQMD via LeMat-Bulk.

The uncorrected energy is -63.854 eV/cell. The theoretical density is 8743 kg/m³.

The space group is F-43m (No. 216) and the conventional cell measures 6.291, 6.291 and 6.291 Å, with angles of 90.00, 90.00 and 90.00 degrees. The distinct sites, in fractional coordinates, are Li at (0.000, 0.000, 0.000), Ag at (0.250, 0.250, 0.250), Pd at (0.000, 0.000, 0.500) and Pd at (0.250, 0.250, 0.750).

---

2.
The following is a PBE-GGA calculation of Li2AgPd after structural relaxation, from OQMD via LeMat-Bulk.

The uncorrected energy is -26.356 eV/cell. The calculation puts the relative energy among the computed polymorphs at 6.0 meV per atom. The theoretical density is 6603 kg/m³.

The space group is Cmmm (No. 65) and the conventional cell measures 5.829, 6.622 and 2.973 Å, with angles of 90.00, 90.00 and 90.00 degrees. The distinct sites, in fractional coordinates, are Li at (0.250, 0.250, 0.000), Ag at (0.000, 0.000, 0.500) and Pd at (0.000, 0.500, 0.500).

---

3.
The following is a PBE-GGA calculation of Li2AgPd after structural relaxation, from OQMD via LeMat-Bulk.

The uncorrected energy is -26.399 eV/cell. The calculation puts the relative energy among the computed polymorphs at 0.6 meV per atom. The theoretical density is 6657 kg/m³.

The space group is I4/mmm (No. 139) and the conventional cell measures 4.369, 4.369 and 5.962 Å, with angles of 90.00, 90.00 and 90.00 degrees. The distinct sites, in fractional coordinates, are Li at (0.000, 0.500, 0.250), Ag at (0.000, 0.000, 0.000) and Pd at (0.000, 0.000, 0.500).

---

4.
The following is a PBE-GGA calculation of Li2AgPd after structural relaxation, from OQMD via LeMat-Bulk.

The uncorrected energy is -52.302 eV/cell. The calculation puts the relative energy among the computed polymorphs at 31.6 meV per atom. The theoretical density is 6137 kg/m³.

The space group is F-43m (No. 216) and the conventional cell measures 6.274, 6.274 and 6.274 Å, with angles of 90.00, 90.00 and 90.00 degrees. The distinct sites, in fractional coordinates, are Li at (0.000, 0.000, 0.000), Li at (0.250, 0.250, 0.250), Ag at (0.250, 0.250, 0.750) and Pd at (0.000, 0.000, 0.500).

---

5.
The following is a PBE-GGA calculation of Li2AgPd after structural relaxation, from OQMD via LeMat-Bulk.

The uncorrected energy is -26.392 eV/cell. The calculation puts the relative energy among the computed polymorphs at 1.4 meV per atom. The theoretical density is 6654 kg/m³.

The space group is I4/mmm (No. 139) and the conventional cell measures 4.368, 4.368 and 5.969 Å, with angles of 90.00, 90.00 and 90.00 degrees. The distinct sites, in fractional coordinates, are Li at (0.000, 0.500, 0.250), Ag at (0.000, 0.000, 0.000) and Pd at (0.000, 0.000, 0.500).

---

6.
The following is a PBE-GGA calculation of LiAg3PdS4 after structural relaxation, from OQMD via LeMat-Bulk.

The uncorrected energy is -32.725 eV/cell. The theoretical density is 4709 kg/m³.

The space group is P-43m (No. 215) and the conventional cell measures 5.841, 5.841 and 5.841 Å, with angles of 90.00, 90.00 and 90.00 degrees. The distinct sites, in fractional coordinates, are Li at (0.000, 0.000, 0.000), Ag at (0.000, 0.500, 0.500), Pd at (0.500, 0.500, 0.500) and S at (0.254, 0.254, 0.254).

---

7.
The following is a PBE-GGA calculation of LiAgPdSe2S after structural relaxation, from OQMD via LeMat-Bulk.

The uncorrected energy is -91.509 eV/cell. The theoretical density is 5863 kg/m³.

The space group is Cmcm (No. 63) and the conventional cell measures 3.876, 11.720 and 10.256 Å, with angles of 90.00, 90.00 and 90.00 degrees. The distinct sites, in fractional coordinates, are Li at (0.000, 0.181, 0.250), Ag at (0.000, 0.107, 0.750), Pd at (0.000, 0.500, 0.000), Se at (0.000, 0.144, 0.507) and S at (0.000, 0.448, 0.750).

---

8.
The following is a PBE-GGA calculation of LiAgPdSeS2 after structural relaxation, from OQMD via LeMat-Bulk.

The uncorrected energy is -93.462 eV/cell. The theoretical density is 5186 kg/m³.

The space group is Cmcm (No. 63) and the conventional cell measures 3.491, 13.263 and 10.079 Å, with angles of 90.00, 90.00 and 90.00 degrees. The distinct sites, in fractional coordinates, are Li at (0.000, 0.195, 0.250), Ag at (0.000, 0.135, 0.750), Pd at (0.000, 0.500, 0.000), Se at (0.000, 0.447, 0.750) and S at (0.000, 0.126, 0.513).